Entry 1:
! PBE ZnCu2Ag, optimized geometry; values from VASP
&SYSTEM
  ibrav = 0, nat = 4, ntyp = 3
/
ATOMIC_SPECIES
Zn 65.41 Zn.upf
Cu 63.55 Cu.upf
Ag 107.87 Ag.upf
CELL_PARAMETERS angstrom
2.766 0.000 0.000
1.383 2.395 0.000
1.383 0.798 8.595
ATOMIC_POSITIONS crystal
Zn 0.667 0.667 0.000
Cu 0.079 0.079 0.763
Cu 0.254 0.254 0.237
Ag 0.500 0.500 0.500
! Space group = R3m
! Formation energy from the elements = 24 kJ/mol of formula units
! Final energy = -3.02 eV/atom
! Fermi-level density of states = 0.459 states/eV per atom
! Magnetization = 0.00 μB/cell


Entry 2:
! PBE Zn2CuAg, optimized geometry; values from VASP
&SYSTEM
  ibrav = 0, nat = 4, ntyp = 3
/
ATOMIC_SPECIES
Zn 65.41 Zn.upf
Cu 63.55 Cu.upf
Ag 107.87 Ag.upf
CELL_PARAMETERS angstrom
9.033 0.040 0.023
8.593 2.785 0.023
8.593 1.377 2.421
ATOMIC_POSITIONS crystal
Zn 0.005 0.005 0.005
Zn 0.495 0.495 0.495
Cu 0.750 0.750 0.750
Ag 0.250 0.250 0.250
! Space group = R-3m
! Formation energy from the elements = -11 kJ/mol of formula units
! Final energy = -2.40 eV/atom
! Fermi-level density of states = 0.109 states/eV per atom
! Magnetization = 0.00 μB/cell


Entry 3:
! PBE Zn9CuAg2, optimized geometry; values from VASP
&SYSTEM
  ibrav = 0, nat = 12, ntyp = 3
/
ATOMIC_SPECIES
Zn 65.41 Zn.upf
Cu 63.55 Cu.upf
Ag 107.87 Ag.upf
CELL_PARAMETERS angstrom
-1.373 5.132 -4.472
-3.070 2.592 2.030
2.712 5.779 2.673
ATOMIC_POSITIONS crystal
Zn 0.332 0.209 0.914
Zn 0.668 0.791 0.086
Zn 0.500 0.500 0.500
Zn 0.534 0.695 0.805
Zn 0.809 0.225 0.683
Zn 0.982 0.605 0.784
Zn 0.466 0.305 0.195
Zn 0.018 0.395 0.216
Zn 0.191 0.775 0.317
Cu 0.000 0.000 0.000
Ag 0.226 0.084 0.588
Ag 0.774 0.916 0.412
! Space group = P-1
! Formation energy from the elements = 10 kJ/mol of formula units
! Final energy = -1.76 eV/atom
! Fermi-level density of states = 0.184 states/eV per atom
! Magnetization = 0.00 μB/cell


Entry 4:
! PBE Zn7CuAg12, optimized geometry; values from VASP
&SYSTEM
  ibrav = 0, nat = 20, ntyp = 3
/
ATOMIC_SPECIES
Zn 65.41 Zn.upf
Cu 63.55 Cu.upf
Ag 107.87 Ag.upf
CELL_PARAMETERS angstrom
7.035 0.653 0.980
-1.329 6.939 0.980
-1.329 -1.769 6.781
ATOMIC_POSITIONS crystal
Zn 0.801 0.660 0.958
Zn 0.340 0.042 0.199
Zn 0.042 0.199 0.340
Zn 0.500 0.500 0.500
Zn 0.958 0.801 0.660
Zn 0.660 0.958 0.801
Zn 0.199 0.340 0.042
Cu 0.000 0.000 0.000
Ag 0.885 0.313 0.797
Ag 0.687 0.203 0.115
Ag 0.611 0.167 0.499
Ag 0.833 0.501 0.389
Ag 0.203 0.115 0.687
Ag 0.501 0.389 0.833
Ag 0.499 0.611 0.167
Ag 0.797 0.885 0.313
Ag 0.167 0.499 0.611
Ag 0.389 0.833 0.501
Ag 0.313 0.797 0.885
Ag 0.115 0.687 0.203
! Space group = R-3
! Formation energy from the elements = 183 kJ/mol of formula units
! Final energy = -2.27 eV/atom
! Fermi-level density of states = 0.236 states/eV per atom
! Magnetization = 0.00 μB/cell


Entry 5:
! PBE ZnCu2Ag, optimized geometry; values from VASP
&SYSTEM
  ibrav = 0, nat = 4, ntyp = 3
/
ATOMIC_SPECIES
Zn 65.41 Zn.upf
Cu 63.55 Cu.upf
Ag 107.87 Ag.upf
CELL_PARAMETERS angstrom
4.628 -0.287 -0.466
1.786 4.279 0.466
-3.001 -2.327 2.701
ATOMIC_POSITIONS crystal
Zn 0.499 0.499 0.000
Cu 0.002 0.002 0.000
Cu 0.749 0.249 0.500
Ag 0.250 0.750 0.500
! Space group = Imm2
! Formation energy from the elements = 6 kJ/mol of formula units
! Final energy = -3.06 eV/atom
! Fermi-level density of states = 0.321 states/eV per atom
! Magnetization = 0.00 μB/cell


Entry 6:
! PBE ZnCuAg2, optimized geometry; values from VASP
&SYSTEM
  ibrav = 0, nat = 4, ntyp = 3
/
ATOMIC_SPECIES
Zn 65.41 Zn.upf
Cu 63.55 Cu.upf
Ag 107.87 Ag.upf
CELL_PARAMETERS angstrom
-6.991 2.627 -5.185
-5.605 0.999 -7.088
-7.429 -0.201 -5.237
ATOMIC_POSITIONS crystal
Zn 0.755 0.755 0.755
Cu 0.496 0.496 0.496
Ag 0.004 0.004 0.004
Ag 0.245 0.245 0.245
! Space group = R3m
! Formation energy from the elements = 16 kJ/mol of formula units
! Final energy = -2.73 eV/atom
! Fermi-level density of states = 0.271 states/eV per atom
! Magnetization = 0.00 μB/cell


Entry 7:
! PBE Zn2CuAg, optimized geometry; values from VASP
&SYSTEM
  ibrav = 0, nat = 4, ntyp = 3
/
ATOMIC_SPECIES
Ag 107.87 Ag.upf
Cu 63.55 Cu.upf
Zn 65.41 Zn.upf
CELL_PARAMETERS angstrom
-0.711 1.326 2.431
-4.239 0.682 -1.611
0.194 -4.784 0.985
ATOMIC_POSITIONS crystal
Ag 0.502 0.492 0.004
Cu 0.258 0.771 0.516
Zn 0.996 0.983 0.991
Zn 0.744 0.254 0.488
! Space group = Cm
! Formation energy from the elements = -9 kJ/mol of formula units
! Final energy = -2.40 eV/atom
! Fermi-level density of states = 0.191 states/eV per atom
! Magnetization = 0.00 μB/cell


Entry 8:
! PBE Zn2CuAg2, optimized geometry; values from VASP
&SYSTEM
  ibrav = 0, nat = 20, ntyp = 3
/
ATOMIC_SPECIES
Zn 65.41 Zn.upf
Cu 63.55 Cu.upf
Ag 107.87 Ag.upf
CELL_PARAMETERS angstrom
-1.186 -2.226 4.538
-1.654 -4.591 -2.685
10.415 -4.150 0.686
ATOMIC_POSITIONS crystal
Zn 0.822 0.250 0.839
Zn 0.678 0.750 0.839
Zn 0.322 0.250 0.161
Zn 0.178 0.750 0.161
Zn 0.500 0.250 0.501
Zn 0.000 0.750 0.501
Zn 0.000 0.250 0.499
Zn 0.500 0.750 0.499
Cu 0.750 0.500 0.654
Cu 0.250 0.500 0.346
Cu 0.750 0.000 0.654
Cu 0.250 0.000 0.346
Ag 0.750 0.500 0.051
Ag 0.750 0.000 0.051
Ag 0.250 0.000 0.949
Ag 0.250 0.500 0.949
Ag 0.250 0.000 0.698
Ag 0.250 0.500 0.698
Ag 0.750 0.500 0.302
Ag 0.750 0.000 0.302
! Space group = Pbcm
! Distance to the lowest polymorph of the same formula = 0.000 eV per atom
! Formation energy from the elements = 27 kJ/mol of formula units
! Final energy = -2.41 eV/atom
! Fermi-level density of states = 0.243 states/eV per atom
! Magnetization = 0.00 μB/cell


Entry 9:
! PBE Zn5Cu2Ag2, optimized geometry; values from VASP
&SYSTEM
  ibrav = 0, nat = 9, ntyp = 3
/
ATOMIC_SPECIES
Zn 65.41 Zn.upf
Cu 63.55 Cu.upf
Ag 107.87 Ag.upf
CELL_PARAMETERS angstrom
2.782 0.000 0.000
-1.391 7.257 0.132
0.000 0.902 6.723
ATOMIC_POSITIONS crystal
Zn 0.239 0.478 0.319
Zn 0.761 0.522 0.681
Zn 0.103 0.207 0.645
Zn 0.897 0.793 0.355
Zn 0.000 0.000 0.000
Cu 0.177 0.353 0.977
Cu 0.823 0.647 0.023
Ag 0.430 0.859 0.700
Ag 0.570 0.141 0.300
! Space group = C2/m
! Distance to the lowest polymorph of the same formula = 0.000 eV per atom
! Formation energy from the elements = -5 kJ/mol of formula units
! Final energy = -2.26 eV/atom
! Fermi-level density of states = 0.265 states/eV per atom
! Magnetization = 0.00 μB/cell


Entry 10:
! PBE Zn8Cu2Ag, optimized geometry; values from VASP
&SYSTEM
  ibrav = 0, nat = 11, ntyp = 3
/
ATOMIC_SPECIES
Zn 65.41 Zn.upf
Cu 63.55 Cu.upf
Ag 107.87 Ag.upf
CELL_PARAMETERS angstrom
-0.948 -1.451 -3.518
5.574 -2.632 -0.416
-3.815 -3.769 4.769
ATOMIC_POSITIONS crystal
Zn 0.599 0.467 0.199
Zn 0.315 0.086 0.629
Zn 0.143 0.202 0.286
Zn 0.050 0.722 0.101
Zn 0.857 0.798 0.714
Zn 0.685 0.914 0.371
Zn 0.401 0.533 0.801
Zn 0.950 0.278 0.899
Cu 0.229 0.642 0.458
Cu 0.771 0.358 0.542
Ag 0.500 0.000 0.000
! Space group = C2/m
! Distance to the lowest polymorph of the same formula = 0.000 eV per atom
! Formation energy from the elements = -22 kJ/mol of formula units
! Final energy = -1.95 eV/atom
! Fermi-level density of states = 0.228 states/eV per atom
! Magnetization = 0.00 μB/cell


Entry 11:
! PBE Zn5CuAg, optimized geometry; values from VASP
&SYSTEM
  ibrav = 0, nat = 7, ntyp = 3
/
ATOMIC_SPECIES
Zn 65.41 Zn.upf
Cu 63.55 Cu.upf
Ag 107.87 Ag.upf
CELL_PARAMETERS angstrom
4.119 0.000 0.000
0.000 4.119 0.000
0.000 0.000 6.511
ATOMIC_POSITIONS crystal
Zn 0.500 0.500 0.000
Zn 0.500 0.000 0.288
Zn 0.000 0.500 0.288
Zn 0.500 0.000 0.712
Zn 0.000 0.500 0.712
Cu 0.000 0.000 0.500
Ag 0.000 0.000 0.000
! Space group = P4/mmm
! Formation energy from the elements = 5 kJ/mol of formula units
! Final energy = -1.90 eV/atom
! Fermi-level density of states = 0.284 states/eV per atom
! Magnetization = 0.00 μB/cell


Entry 12:
! PBE Zn8Cu3Ag2, optimized geometry; values from VASP
&SYSTEM
  ibrav = 0, nat = 13, ntyp = 3
/
ATOMIC_SPECIES
Zn 65.41 Zn.upf
Cu 63.55 Cu.upf
Ag 107.87 Ag.upf
CELL_PARAMETERS angstrom
5.068 0.000 0.464
0.000 7.152 0.000
-1.487 -3.576 5.527
ATOMIC_POSITIONS crystal
Zn 0.904 0.594 0.188
Zn 0.096 0.406 0.812
Zn 0.797 0.193 0.386
Zn 0.203 0.807 0.614
Zn 0.573 0.577 0.788
Zn 0.573 0.211 0.788
Zn 0.427 0.789 0.212
Zn 0.427 0.423 0.212
Cu 0.500 0.000 0.000
Cu 0.000 0.171 0.000
Cu 0.000 0.829 0.000
Ag 0.294 0.205 0.411
Ag 0.706 0.795 0.589
! Space group = C2/m
! Formation energy from the elements = 48 kJ/mol of formula units
! Final energy = -2.13 eV/atom
! Fermi-level density of states = 0.275 states/eV per atom
! Magnetization = 0.00 μB/cell


Question: Which formula does entry 2 have?
Answer: Zn2CuAg